# 1
VASP calculation (PBE-GGA) on a geometry-optimized La4PIrCl2 structure.

Computed properties:
Symmetry = P2/m
Formation energy (no corrections) = -1.466 eV/atom
Mass density = 6.33 g/cm³
Calculated volume = 223 Å³/cell

a = 7.5035 Å, b = 4.1327 Å, c = 7.5662 Å
α = 90.00°, β = 108.30°, γ = 90.00°
Last column: nearest neighbours and their distance in Å.
Element x y z (fractional)
La  0.2139  0.0000  0.2275  2 Ir 2.84, 1 P 2.98, 1 Cl 3.14
La  0.2246  0.5000  0.7406  2 P 2.92, 1 Ir 2.96, 3 Cl 3.14-3.15
La  0.7754  0.5000  0.2594  2 P 2.92, 1 Ir 2.96, 3 Cl 3.14-3.15
La  0.7861  0.0000  0.7725  2 Ir 2.84, 1 P 2.98, 1 Cl 3.14
P  0.0000  0.0000  0.5000  6 La 2.92-2.98
Ir  0.0000  0.5000  0.0000  6 La 2.84-2.96
Cl  0.5000  0.0000  0.0000  6 La 3.14
Cl  0.5000  0.5000  0.5000  6 La 3.15-3.22

=====

# 2
VASP calculation (PBE-GGA) on a geometry-optimized La8PIr3Cl4 structure.

Computed properties:
Symmetry = R-3m
Formation energy (no corrections) = -1.379 eV/atom
Mass density = 6.67 g/cm³
Calculated volume = 463 Å³/cell

a = 8.9319 Å, b = 8.9319 Å, c = 8.9319 Å
α = 56.52°, β = 56.52°, γ = 56.52°
Last column: nearest neighbours and their distance in Å.
Element x y z (fractional)
La  0.2271  0.7405  0.7405  2 Ir 2.87, 1 P 2.95
La  0.2359  0.2359  0.2359  3 Ir 2.89
La  0.2595  0.2595  0.7729  2 Ir 2.87, 1 P 2.95
La  0.2595  0.7729  0.2595  2 Ir 2.87, 1 P 2.95
La  0.7405  0.2271  0.7405  2 Ir 2.87, 1 P 2.95
La  0.7405  0.7405  0.2271  2 Ir 2.87, 1 P 2.95
La  0.7641  0.7641  0.7641  3 Ir 2.89
La  0.7729  0.2595  0.2595  2 Ir 2.87, 1 P 2.95
P  0.5000  0.5000  0.5000  6 La 2.95
Ir  0.0000  0.0000  0.5000  6 La 2.87-2.89
Ir  0.0000  0.5000  0.0000  6 La 2.87-2.89
Ir  0.5000  0.0000  0.0000  6 La 2.87-2.89
Cl  0.0000  0.0000  0.0000  6 La 3.23
Cl  0.0000  0.5000  0.5000  6 La 3.28-3.30
Cl  0.5000  0.0000  0.5000  6 La 3.28-3.30
Cl  0.5000  0.5000  0.0000  6 La 3.28-3.30

=====

# 3
VASP calculation (PBE-GGA) on a geometry-optimized La6PIr2Cl3 structure.

Computed properties:
Symmetry = C2/m
Formation energy (no corrections) = -1.415 eV/atom
Mass density = 6.49 g/cm³
Calculated volume = 347 Å³/cell

a = 7.3260 Å, b = 7.3260 Å, c = 7.8416 Å
α = 98.90°, β = 98.90°, γ = 119.98°
Last column: nearest neighbours and their distance in Å.
Element x y z (fractional)
La  0.0869  0.4299  0.7904  2 Ir 2.87, 1 P 2.96
La  0.2265  0.2265  0.2096  2 Ir 2.87, 1 P 2.96, 1 Cl 3.21
La  0.4299  0.0869  0.7904  2 Ir 2.87, 1 P 2.96
La  0.5701  0.9131  0.2096  2 Ir 2.87, 1 P 2.96
La  0.7735  0.7735  0.7904  2 Ir 2.87, 1 P 2.96, 1 Cl 3.21
La  0.9131  0.5701  0.2096  2 Ir 2.87, 1 P 2.96
P  0.5000  0.5000  0.0000  6 La 2.96
Ir  0.1670  0.8330  0.0000  6 La 2.87
Ir  0.8330  0.1670  0.0000  6 La 2.87
Cl  0.0000  0.0000  0.5000  6 La 3.21-3.29
Cl  0.3384  0.6616  0.5000  6 La 3.25-3.29
Cl  0.6616  0.3384  0.5000  6 La 3.25-3.29

=====

# 4
VASP calculation (PBE-GGA) on a geometry-optimized LaP2IrCl structure.

Computed properties:
Symmetry = P4/mmm
Formation energy (no corrections) = 1.159 eV/atom
Mass density = 4.33 g/cm³
Calculated volume = 164 Å³/cell
Energy above the most stable polymorph in this dataset = 1596 meV per atom

a = 5.5767 Å, b = 5.5767 Å, c = 5.2788 Å
α = 90.00°, β = 90.00°, γ = 90.00°
Last column: nearest neighbours and their distance in Å.
Element x y z (fractional)
La  0.0000  0.0000  0.0000  2 Cl 2.64, 4 P 2.79
P  0.0000  0.5000  0.0000  2 La 2.79
P  0.5000  0.0000  0.0000  2 La 2.79
Ir  0.5000  0.5000  0.5000  8 P 3.84, 4 Cl 3.94
Cl  0.0000  0.0000  0.5000  2 La 2.64

=====

# 5
VASP calculation (PBE-GGA) on a geometry-optimized La8P3IrCl4 structure.

Computed properties:
Symmetry = R-3m
Formation energy (no corrections) = -1.589 eV/atom
Mass density = 5.87 g/cm³
Calculated volume = 435 Å³/cell

a = 8.5117 Å, b = 8.5117 Å, c = 8.5117 Å
α = 59.93°, β = 59.93°, γ = 59.93°
Last column: nearest neighbours and their distance in Å.
Element x y z (fractional)
La  0.2420  0.2420  0.2420  3 P 2.91, 3 Cl 3.11
La  0.2455  0.7393  0.7393  1 Ir 2.88, 2 P 2.92, 3 Cl 3.10-3.14
La  0.2607  0.2607  0.7545  1 Ir 2.88, 2 P 2.92, 3 Cl 3.10-3.14
La  0.2607  0.7545  0.2607  1 Ir 2.88, 2 P 2.92, 3 Cl 3.10-3.14
La  0.7393  0.2455  0.7393  1 Ir 2.88, 2 P 2.92, 3 Cl 3.10-3.14
La  0.7393  0.7393  0.2455  1 Ir 2.88, 2 P 2.92, 3 Cl 3.10-3.14
La  0.7545  0.2607  0.2607  1 Ir 2.88, 2 P 2.92, 3 Cl 3.10-3.14
La  0.7580  0.7580  0.7580  3 P 2.91, 3 Cl 3.11
P  0.0000  0.0000  0.5000  6 La 2.91-2.92
P  0.0000  0.5000  0.0000  6 La 2.91-2.92
P  0.5000  0.0000  0.0000  6 La 2.91-2.92
Ir  0.5000  0.5000  0.5000  6 La 2.88
Cl  0.0000  0.0000  0.0000  6 La 3.14
Cl  0.0000  0.5000  0.5000  6 La 3.10-3.11
Cl  0.5000  0.0000  0.5000  6 La 3.10-3.11
Cl  0.5000  0.5000  0.0000  6 La 3.10-3.11

=====

# 6
VASP calculation (PBE-GGA) on a geometry-optimized LaP2IrCl structure.

Computed properties:
Symmetry = P4/mmm
Formation energy (no corrections) = -0.437 eV/atom
Mass density = 6.58 g/cm³
Calculated volume = 108 Å³/cell
Energy above the most stable polymorph in this dataset = 0 meV per atom

a = 4.6189 Å, b = 4.6189 Å, c = 5.0684 Å
α = 90.00°, β = 90.00°, γ = 90.00°
Last column: nearest neighbours and their distance in Å.
Element x y z (fractional)
La  0.0000  0.0000  0.0000  4 Cl 3.27, 8 P 3.43
P  0.0000  0.5000  0.5000  2 Ir 2.31
P  0.5000  0.0000  0.5000  2 Ir 2.31
Ir  0.5000  0.5000  0.5000  4 P 2.31, 2 Cl 2.53
Cl  0.5000  0.5000  0.0000  2 Ir 2.53

=====

# 7
VASP calculation (PBE-GGA) on a geometry-optimized La3IrPbCl structure.

Computed properties:
Symmetry = P2_1/m
Formation energy (no corrections) = -0.934 eV/atom
Mass density = 7.88 g/cm³
Calculated volume = 359 Å³/cell

a = 7.9859 Å, b = 4.6795 Å, c = 10.0480 Å
α = 90.00°, β = 107.06°, γ = 90.00°
Last column: nearest neighbours and their distance in Å.
Element x y z (fractional)
La  0.0400  0.2500  0.3634  3 Ir 2.74-3.04
La  0.2153  0.2500  0.9598  3 Cl 2.88-3.03, 1 Ir 3.15
La  0.4251  0.7500  0.6266  1 Cl 2.86, 2 Ir 2.96
La  0.5749  0.2500  0.3734  1 Cl 2.86, 2 Ir 2.96
La  0.7847  0.7500  0.0402  3 Cl 2.88-3.03, 1 Ir 3.15
La  0.9600  0.7500  0.6366  3 Ir 2.74-3.04
Ir  0.2051  0.2500  0.6435  5 La 2.74-3.04
Ir  0.7949  0.7500  0.3565  5 La 2.74-3.04
Pb  0.2397  0.7500  0.2216  7 La 3.37-3.56, 1 Cl 3.75
Pb  0.7603  0.2500  0.7784  7 La 3.37-3.56, 1 Cl 3.75
Cl  0.3921  0.7500  0.9028  4 La 2.86-3.03, 2 Cl 3.21
Cl  0.6079  0.2500  0.0972  4 La 2.86-3.03, 2 Cl 3.21

=====

# 8
VASP calculation (PBE-GGA) on a geometry-optimized LaIrPb2Cl structure.

Computed properties:
Symmetry = P4/mmm
Formation energy (no corrections) = 0.043 eV/atom
Mass density = 8.99 g/cm³
Calculated volume = 144 Å³/cell

a = 5.2842 Å, b = 5.2842 Å, c = 5.1665 Å
α = 90.00°, β = 90.00°, γ = 90.00°
Last column: nearest neighbours and their distance in Å.
Element x y z (fractional)
La  0.0000  0.0000  0.0000  8 Pb 3.70, 4 Cl 3.74
Ir  0.5000  0.5000  0.5000  2 Cl 2.58, 4 Pb 2.64
Pb  0.0000  0.5000  0.5000  2 Ir 2.64
Pb  0.5000  0.0000  0.5000  2 Ir 2.64
Cl  0.5000  0.5000  0.0000  2 Ir 2.58

=====

# 9
VASP calculation (PBE-GGA) on a geometry-optimized La8Ir3PdCl4 structure.

Computed properties:
Symmetry = C2/m
Formation energy (no corrections) = -1.309 eV/atom
Mass density = 6.87 g/cm³
Calculated volume = 468 Å³/cell

a = 8.4130 Å, b = 8.4130 Å, c = 9.0488 Å
α = 117.74°, β = 117.74°, γ = 60.01°
Last column: nearest neighbours and their distance in Å.
Element x y z (fractional)
La  0.2261  0.7399  0.7055  2 Ir 2.86, 1 Pd 2.95
La  0.2353  0.2353  0.7054  3 Ir 2.89
La  0.2601  0.2601  0.2945  2 Ir 2.86, 1 Pd 2.95
La  0.2601  0.7739  0.2945  2 Ir 2.86, 1 Pd 2.95
La  0.7399  0.2261  0.7055  2 Ir 2.86, 1 Pd 2.95
La  0.7399  0.7399  0.7055  2 Ir 2.86, 1 Pd 2.95
La  0.7647  0.7647  0.2946  3 Ir 2.89
La  0.7739  0.2601  0.2945  2 Ir 2.86, 1 Pd 2.95
Ir  0.0000  0.0000  0.5000  6 La 2.86-2.89
Ir  0.0000  0.5000  0.5000  6 La 2.86-2.89
Ir  0.5000  0.0000  0.5000  6 La 2.86-2.89
Pd  0.5000  0.5000  0.5000  6 La 2.95
Cl  0.0000  0.0000  0.0000  6 La 3.26
Cl  0.0000  0.5000  0.0000  6 La 3.31-3.34
Cl  0.5000  0.0000  0.0000  6 La 3.31-3.34
Cl  0.5000  0.5000  0.0000  6 La 3.31-3.34

=====

# 10
VASP calculation (PBE-GGA) on a geometry-optimized La6Ir2PdCl3 structure.

Computed properties:
Symmetry = C2/m
Formation energy (no corrections) = -1.296 eV/atom
Mass density = 6.74 g/cm³
Calculated volume = 352 Å³/cell

a = 9.9917 Å, b = 9.9917 Å, c = 9.0588 Å
α = 108.59°, β = 108.59°, γ = 24.33°
Last column: nearest neighbours and their distance in Å.
Element x y z (fractional)
La  0.0129  0.0129  0.2332  1 Ir 2.83, 2 Pd 2.93
La  0.3224  0.3224  0.4435  3 Ir 2.89
La  0.3389  0.3389  0.8859  2 Ir 2.86, 1 Pd 2.97
La  0.6611  0.6611  0.1141  2 Ir 2.86, 1 Pd 2.97
La  0.6776  0.6776  0.5565  3 Ir 2.89
La  0.9871  0.9871  0.7668  1 Ir 2.83, 2 Pd 2.93
Ir  0.1660  0.1660  0.3313  6 La 2.83-2.89
Ir  0.8340  0.8340  0.6687  6 La 2.83-2.89
Pd  0.5000  0.5000  0.0000  6 La 2.93-2.97
Cl  0.1664  0.1664  0.8344  6 La 3.25-3.35
Cl  0.5000  0.5000  0.5000  6 La 3.28-3.34
Cl  0.8336  0.8336  0.1656  6 La 3.25-3.35

=====

# 11
VASP calculation (PBE-GGA) on a geometry-optimized La3IrPdCl structure.

Computed properties:
Symmetry = P2_1/m
Formation energy (no corrections) = -0.926 eV/atom
Mass density = 7.00 g/cm³
Calculated volume = 356 Å³/cell

a = 8.2029 Å, b = 4.3744 Å, c = 9.9923 Å
α = 90.00°, β = 96.63°, γ = 90.00°
Last column: nearest neighbours and their distance in Å.
Element x y z (fractional)
La  0.1002  0.2500  0.3491  3 Ir 2.93-3.02, 2 Pd 3.04
La  0.2013  0.2500  0.9306  1 Ir 2.76, 2 Cl 2.87
La  0.3718  0.7500  0.6193  1 Cl 2.85, 2 Ir 2.95, 3 Pd 3.02-3.17
La  0.6282  0.2500  0.3807  1 Cl 2.85, 2 Ir 2.95, 3 Pd 3.02-3.17
La  0.7987  0.7500  0.0694  1 Ir 2.76, 2 Cl 2.87
La  0.8998  0.7500  0.6509  3 Ir 2.93-3.02, 2 Pd 3.04
Ir  0.1383  0.2500  0.6535  6 La 2.76-3.02
Ir  0.8617  0.7500  0.3465  6 La 2.76-3.02
Pd  0.3505  0.7500  0.3157  5 La 3.02-3.17
Pd  0.6495  0.2500  0.6843  5 La 3.02-3.17
Cl  0.4219  0.7500  0.9067  3 La 2.85-2.87, 2 Cl 3.06
Cl  0.5781  0.2500  0.0933  3 La 2.85-2.87, 2 Cl 3.06

=====

# 12
VASP calculation (PBE-GGA) on a geometry-optimized La8IrPt3Cl4 structure.

Computed properties:
Symmetry = C2/m
Formation energy (no corrections) = -1.423 eV/atom
Mass density = 7.12 g/cm³
Calculated volume = 474 Å³/cell

a = 8.4938 Å, b = 8.4938 Å, c = 9.0324 Å
α = 118.09°, β = 118.09°, γ = 60.01°
Last column: nearest neighbours and their distance in Å.
Element x y z (fractional)
La  0.2328  0.2328  0.7076  1 Ir 2.87, 2 Pt 2.93
La  0.2328  0.7424  0.7076  1 Ir 2.87, 2 Pt 2.93
La  0.2576  0.7672  0.2924  1 Ir 2.87, 2 Pt 2.93
La  0.2641  0.2641  0.2927  3 Pt 2.91
La  0.7359  0.7359  0.7073  3 Pt 2.91
La  0.7424  0.2328  0.7076  1 Ir 2.87, 2 Pt 2.93
La  0.7672  0.2576  0.2924  1 Ir 2.87, 2 Pt 2.93
La  0.7672  0.7672  0.2924  1 Ir 2.87, 2 Pt 2.93
Ir  0.0000  0.0000  0.5000  6 La 2.87
Pt  0.0000  0.5000  0.5000  6 La 2.91-2.93
Pt  0.5000  0.0000  0.5000  6 La 2.91-2.93
Pt  0.5000  0.5000  0.5000  6 La 2.91-2.93
Cl  0.0000  0.0000  0.0000  6 La 3.29-3.30
Cl  0.0000  0.5000  0.0000  6 La 3.29-3.31
Cl  0.5000  0.0000  0.0000  6 La 3.29-3.31
Cl  0.5000  0.5000  0.0000  6 La 3.34